BeTlSbOs | GGA-PBE | optimized geometry

Cell and atoms, written as POSCAR:
```
BeTlSbOs
1.0
0.000 3.308 3.308
3.308 0.000 3.308
3.308 3.308 0.000
Be Os Sb Tl
1 1 1 1
direct
0.750 0.750 0.750 Be
0.250 0.250 0.250 Os
0.000 0.000 0.000 Sb
0.500 0.500 0.500 Tl
```

Calculated values
Total DFT energy (no corrections)   -4.45 eV/atom

=====

NiPbW4C2 | GGA-PBE | optimized geometry

Cell and atoms, written as POSCAR:
```
NiPbW4C2
1.0
3.130 0.000 0.000
-1.565 2.710 0.000
0.000 0.000 13.455
C Ni Pb W
2 1 1 4
direct
0.667 0.333 0.271 C
0.667 0.333 0.729 C
0.000 0.000 0.500 Ni
0.333 0.667 0.000 Pb
0.000 0.000 0.191 W
0.333 0.667 0.359 W
0.333 0.667 0.641 W
0.000 0.000 0.809 W
```

Calculated values
Total DFT energy (no corrections)   -9.58 eV/atom

=====

Hf2HgTe2 | GGA-PBE | optimized geometry

Cell and atoms, written as POSCAR:
```
Hf2HgTe2
1.0
-2.520 2.520 5.810
2.520 -2.520 5.810
2.520 2.520 -5.810
Hf Hg Te
2 1 2
direct
0.373 0.373 0.000 Hf
0.627 0.627 0.000 Hf
0.000 0.000 0.000 Hg
0.750 0.250 0.500 Te
0.250 0.750 0.500 Te
```

Calculated values
Total DFT energy (no corrections)   -5.29 eV/atom

=====

HfTcGe | GGA-PBE | optimized geometry

Cell and atoms, written as POSCAR:
```
HfTcGe
1.0
-2.031 2.031 6.492
2.031 -2.031 6.492
2.031 2.031 -6.492
Ge Hf Tc
2 2 2
direct
0.370 0.370 0.000 Ge
0.630 0.630 0.000 Ge
0.148 0.148 0.000 Hf
0.852 0.852 0.000 Hf
0.500 0.000 0.500 Tc
0.000 0.500 0.500 Tc
```

Calculated values
Total DFT energy (no corrections)   -8.85 eV/atom

=====

SnIr2Au | GGA-PBE | optimized geometry

Cell and atoms, written as POSCAR:
```
SnIr2Au
1.0
0.000 3.245 3.245
3.245 0.000 3.245
3.245 3.245 0.000
Au Ir Sn
1 2 1
direct
0.250 0.250 0.250 Au
0.000 0.000 0.000 Ir
0.750 0.750 0.750 Ir
0.500 0.500 0.500 Sn
```

Calculated values
Total DFT energy (no corrections)   -5.89 eV/atom

=====

HfTaTc2 | GGA-PBE | optimized geometry

Cell and atoms, written as POSCAR:
```
HfTaTc2
1.0
-2.342 -4.270 -4.203
4.237 -1.259 -1.082
-0.208 -6.320 6.537
Hf Ta Tc
4 4 8
direct
0.750 0.250 0.125 Hf
0.250 0.750 0.375 Hf
0.750 0.250 0.625 Hf
0.250 0.750 0.875 Hf
0.250 0.250 0.125 Ta
0.750 0.750 0.375 Ta
0.250 0.250 0.625 Ta
0.750 0.750 0.875 Ta
0.500 0.750 0.125 Tc
0.000 0.750 0.125 Tc
0.500 0.250 0.375 Tc
0.000 0.250 0.375 Tc
0.000 0.750 0.625 Tc
0.500 0.750 0.625 Tc
0.000 0.250 0.875 Tc
0.500 0.250 0.875 Tc
```

Calculated values
Total DFT energy (no corrections)   -11.14 eV/atom